18
Lattice="-4.399 4.399 7.479 4.399 -4.399 7.479 4.399 4.399 -7.479" Properties=species:S:1:pos:R:3 comment="Tb2NdSmEr5 GGA-PBE relaxed" rho_g_cm3=8.31 dos_ef_per_ev_atom=1.157 total_magnetization_mub_per_atom=0.00 energy_ev_per_cell=-78.16 pbc="T T T"
Tb 5.409 1.010 0.000
Tb 1.010 3.389 0.000
Tb 3.389 1.010 7.479
Tb -1.010 3.389 7.479
Nd 0.000 0.000 3.739
Nd 0.000 0.000 11.218
Sm 4.399 0.000 3.739
Sm 0.000 4.399 3.739
Er 0.000 0.000 0.000
Er 2.590 1.809 -1.998
Er 2.590 -1.809 5.481
Er 2.590 1.809 1.998
Er 2.590 -1.809 9.476
Er 0.000 0.000 7.479
Er 1.809 6.208 -1.998
Er 1.809 2.590 5.481
Er 1.809 6.208 1.998
Er 1.809 2.590 9.476